Record 1
! LaNd2TlRu, optimized geometry, DFT GGA-PBE; values from VASP
&SYSTEM
  ibrav = 0, nat = 5, ntyp = 4
/
ATOMIC_SPECIES
Tl 204.38 Tl.upf
Ru 101.07 Ru.upf
La 138.91 La.upf
Nd 144.24 Nd.upf
ATOMIC_POSITIONS crystal
Tl 0.5000 0.5000 0.5093
Ru 0.0000 0.0000 0.0278
La 0.0000 0.0000 0.4922
Nd 0.5000 0.0000 0.9853
Nd 0.0000 0.5000 0.9853
CELL_PARAMETERS angstrom
5.5052 0.0000 0.0000
0.0000 5.5052 0.0000
0.0000 0.0002 5.3835
! **DFT formation energy**: -0.190 eV/atom
! **Space-group type**: P4mm (99)
! **Fermi-level density of states**: 4.797 states/eV per cell

***

Record 2
! La3NdTlRu, optimized geometry, DFT GGA-PBE; values from VASP
&SYSTEM
  ibrav = 0, nat = 12, ntyp = 4
/
ATOMIC_SPECIES
Ru 101.07 Ru.upf
La 138.91 La.upf
Nd 144.24 Nd.upf
Tl 204.38 Tl.upf
ATOMIC_POSITIONS crystal
Ru 0.0003 0.0003 0.2405
La 0.8695 0.3645 0.1135
Nd 0.7010 0.2990 0.5000
La 0.6355 0.1305 0.8865
La 0.1804 0.1804 0.6751
Ru 0.9997 0.9997 0.7595
La 0.8196 0.8196 0.3249
Nd 0.2990 0.7010 0.5000
La 0.3645 0.8695 0.1135
Tl 0.6963 0.6963 0.6978
Tl 0.3037 0.3037 0.3021
La 0.1305 0.6355 0.8865
CELL_PARAMETERS angstrom
8.6297 0.7541 -2.9519
4.7100 7.2702 -2.9519
-0.0680 -0.0409 6.2489
! **DFT formation energy**: -0.287 eV/atom
! **Space-group type**: C2/m (12)
! **Fermi-level density of states**: 11.453 states/eV per cell

***

Record 3
! LaNdZnRu, optimized geometry, DFT GGA-PBE; values from VASP
&SYSTEM
  ibrav = 0, nat = 4, ntyp = 4
/
ATOMIC_SPECIES
Ru 101.07 Ru.upf
Zn 65.41 Zn.upf
La 138.91 La.upf
Nd 144.24 Nd.upf
ATOMIC_POSITIONS crystal
Ru 0.2500 0.2500 0.2500
Zn 0.7500 0.7500 0.7500
La 0.5000 0.5000 0.5000
Nd 0.0000 0.0000 0.0000
CELL_PARAMETERS angstrom
-0.5602 -0.0882 -5.0931
3.3582 -2.5603 -2.9031
-1.4193 -4.3288 -2.3470
! **DFT formation energy**: -0.215 eV/atom
! **Relative energy among the computed polymorphs**: 0.046 eV per atom
! **Space-group type**: F-43m (216)
! **Fermi-level density of states**: 4.290 states/eV per cell

***

Record 4
! LaNdZnRu, optimized geometry, DFT GGA-PBE; values from VASP
&SYSTEM
  ibrav = 0, nat = 4, ntyp = 4
/
ATOMIC_SPECIES
La 138.91 La.upf
Nd 144.24 Nd.upf
Zn 65.41 Zn.upf
Ru 101.07 Ru.upf
ATOMIC_POSITIONS crystal
La 0.8630 0.5000 0.7260
Nd 0.1389 0.0000 0.2779
Zn 0.5684 0.5000 0.1367
Ru 0.4297 0.0000 0.8594
CELL_PARAMETERS angstrom
4.1601 0.0000 0.0000
0.0000 4.2637 0.0000
-2.0800 0.0000 5.6144
! **DFT formation energy**: -0.261 eV/atom
! **Relative energy among the computed polymorphs**: 0.000 eV per atom
! **Space-group type**: Amm2 (38)
! **Fermi-level density of states**: 4.292 states/eV per cell

***

Record 5
! La3Nd5S8, optimized geometry, DFT GGA-PBE; values from VASP
&SYSTEM
  ibrav = 0, nat = 16, ntyp = 3
/
ATOMIC_SPECIES
La 138.91 La.upf
S 32.06 S.upf
Nd 144.24 Nd.upf
ATOMIC_POSITIONS crystal
La 0.0000 0.5000 0.5000
S 0.2517 0.2517 0.2450
Nd 0.5000 0.5000 0.5000
Nd 0.5000 0.0000 0.0000
S 0.2531 0.7500 0.2469
S 0.7483 0.7483 0.7550
S 0.7469 0.2500 0.7531
S 0.7500 0.2531 0.2469
Nd 0.0000 0.5000 0.0000
Nd 0.5000 0.5000 0.0000
La 0.5000 0.0000 0.5000
La 0.0000 0.0000 0.5000
S 0.2500 0.7469 0.7531
S 0.7500 0.7500 0.2469
Nd 0.0000 0.0000 0.0000
S 0.2500 0.2500 0.7531
CELL_PARAMETERS angstrom
7.1225 0.0000 4.0798
2.3928 6.7085 4.0798
0.0319 0.0225 8.2013
! **ΔE_f (raw)**: -2080 meV per atom
! **Space-group type**: R-3m (166)
! **Fermi-level density of states**: 8.804 states/eV per cell

***

Record 6
! La5Nd3S8, optimized geometry, DFT GGA-PBE; values from VASP
&SYSTEM
  ibrav = 0, nat = 16, ntyp = 3
/
ATOMIC_SPECIES
S 32.06 S.upf
La 138.91 La.upf
Nd 144.24 Nd.upf
ATOMIC_POSITIONS crystal
S 0.7516 0.7516 0.7453
La 0.5000 0.5000 0.5000
S 0.2466 0.7500 0.2534
Nd 0.0000 0.0000 0.5000
S 0.2500 0.2500 0.7466
S 0.2500 0.7534 0.7466
La 0.5000 0.0000 0.0000
La 0.0000 0.5000 0.0000
Nd 0.5000 0.0000 0.5000
S 0.7500 0.2466 0.2534
S 0.2484 0.2484 0.2547
S 0.7534 0.2500 0.7466
La 0.5000 0.5000 0.0000
S 0.7500 0.7500 0.2534
Nd 0.0000 0.5000 0.5000
La 0.0000 0.0000 0.0000
CELL_PARAMETERS angstrom
7.1597 0.0000 4.1011
2.4053 6.7436 4.1011
0.0315 0.0222 8.2453
! **ΔE_f (raw)**: -2117 meV per atom
! **Space-group type**: R-3m (166)
! **Fermi-level density of states**: 8.739 states/eV per cell

***

Record 7
! La3NdS, optimized geometry, DFT GGA-PBE; values from VASP
&SYSTEM
  ibrav = 0, nat = 5, ntyp = 3
/
ATOMIC_SPECIES
La 138.91 La.upf
S 32.06 S.upf
Nd 144.24 Nd.upf
ATOMIC_POSITIONS crystal
La 0.0000 0.0000 0.5000
La 0.5000 0.0000 0.0000
La 0.0000 0.5000 0.0000
S 0.0000 0.0000 0.0000
Nd 0.5000 0.5000 0.5000
CELL_PARAMETERS angstrom
5.6218 0.0000 0.0000
0.0000 5.6218 0.0000
0.0000 0.0000 5.6218
! **ΔE_f (raw)**: -729 meV per atom
! **Space-group type**: Pm-3m (221)
! **Fermi-level density of states**: 6.566 states/eV per cell

***

Record 8
! La2Nd3S8, optimized geometry, DFT GGA-PBE; values from VASP
&SYSTEM
  ibrav = 0, nat = 13, ntyp = 3
/
ATOMIC_SPECIES
S 32.06 S.upf
Nd 144.24 Nd.upf
La 138.91 La.upf
ATOMIC_POSITIONS crystal
S 0.9240 0.6217 0.2434
S 0.9327 0.1152 0.2303
S 0.4137 0.3521 0.2488
Nd 0.5000 0.0000 0.0000
S 0.5863 0.6479 0.7512
Nd 0.0000 0.2637 0.0000
S 0.4137 0.8967 0.2488
S 0.0760 0.3783 0.7566
S 0.0673 0.8848 0.7697
Nd 0.0000 0.7363 0.0000
La 0.6510 0.7321 0.4641
La 0.3490 0.2679 0.5359
S 0.5863 0.1033 0.7512
CELL_PARAMETERS angstrom
6.9607 0.0000 0.1476
0.0000 8.3532 0.0000
-2.6399 -4.1766 6.6037
! **ΔE_f (raw)**: -1891 meV per atom
! **Space-group type**: C2/m (12)
! **Fermi-level density of states**: 8.610 states/eV per cell

***

Record 9
! LaNd3S6, optimized geometry, DFT GGA-PBE; values from VASP
&SYSTEM
  ibrav = 0, nat = 20, ntyp = 3
/
ATOMIC_SPECIES
S 32.06 S.upf
La 138.91 La.upf
Nd 144.24 Nd.upf
ATOMIC_POSITIONS crystal
S 0.2500 0.6006 0.9373
La 0.2500 0.9530 0.3103
Nd 0.7500 0.1611 0.0853
S 0.7500 0.7413 0.2753
S 0.7500 0.4770 0.6101
S 0.2500 0.5230 0.3899
S 0.2500 0.1901 0.2487
S 0.2500 0.8863 0.5388
Nd 0.7500 0.4364 0.8312
Nd 0.2500 0.8389 0.9147
S 0.7500 0.8099 0.7513
S 0.7500 0.1137 0.4612
S 0.2500 0.2587 0.7247
Nd 0.2500 0.5636 0.1688
S 0.7500 0.3994 0.0627
La 0.7500 0.0470 0.6897
S 0.2500 0.0831 0.9026
Nd 0.2500 0.3188 0.4963
Nd 0.7500 0.6812 0.5037
S 0.7500 0.9169 0.0974
CELL_PARAMETERS angstrom
4.1436 0.0000 0.0000
0.0000 11.3979 0.0896
0.0000 -3.7231 11.0895
! **ΔE_f (raw)**: -2082 meV per atom
! **Space-group type**: P2_1/m (11)

***

Record 10
! LaNd6S8, optimized geometry, DFT GGA-PBE; values from VASP
&SYSTEM
  ibrav = 0, nat = 15, ntyp = 3
/
ATOMIC_SPECIES
S 32.06 S.upf
La 138.91 La.upf
Nd 144.24 Nd.upf
ATOMIC_POSITIONS crystal
S 0.2521 0.7479 0.2521
S 0.7479 0.7479 0.2521
S 0.7500 0.7500 0.7500
La 0.0000 0.0000 0.0000
S 0.2500 0.2500 0.2500
Nd 0.0000 0.0000 0.5000
S 0.7479 0.2521 0.2521
Nd 0.5000 0.0000 0.0000
Nd 0.0000 0.5000 0.0000
Nd 0.5000 0.5000 0.0000
S 0.2521 0.7479 0.7479
Nd 0.0000 0.5000 0.5000
S 0.2521 0.2521 0.7479
S 0.7479 0.2521 0.7479
Nd 0.5000 0.0000 0.5000
CELL_PARAMETERS angstrom
7.0513 0.0000 4.0711
2.3504 6.6480 4.0711
0.0000 0.0000 8.1421
! **ΔE_f (raw)**: -2045 meV per atom
! **Space-group type**: Fm-3m (225)
! **Fermi-level density of states**: 7.344 states/eV per cell

***

Record 11
! La5NdS8, optimized geometry, DFT GGA-PBE; values from VASP
&SYSTEM
  ibrav = 0, nat = 14, ntyp = 3
/
ATOMIC_SPECIES
S 32.06 S.upf
La 138.91 La.upf
Nd 144.24 Nd.upf
ATOMIC_POSITIONS crystal
S 0.4749 0.5994 0.2224
La 0.8751 0.8822 0.2575
La 0.7425 0.6176 0.6246
La 0.3754 0.1178 0.9929
S 0.9763 0.1039 0.7281
La 0.0071 0.3824 0.1249
S 0.1245 0.7475 0.5251
S 0.6230 0.4006 0.8755
S 0.7776 0.2525 0.3770
Nd 0.2500 0.5000 0.7500
S 0.2719 0.2482 0.3757
La 0.5000 0.0000 0.5000
S 0.6243 0.8961 0.8724
S 0.1276 0.7518 0.0237
CELL_PARAMETERS angstrom
-7.1137 -0.2550 2.5186
3.4126 -6.5588 1.5326
3.7482 5.6029 3.4016
! **ΔE_f (raw)**: -2145 meV per atom
! **Space-group type**: I-4 (82)
! **Fermi-level density of states**: 10.729 states/eV per cell

***

Record 12
! La2Nd2S3, optimized geometry, DFT GGA-PBE; values from VASP
&SYSTEM
  ibrav = 0, nat = 7, ntyp = 3
/
ATOMIC_SPECIES
S 32.06 S.upf
La 138.91 La.upf
Nd 144.24 Nd.upf
ATOMIC_POSITIONS crystal
S 0.7488 0.4978 0.2515
S 0.2512 0.5022 0.7485
La 0.3745 0.7492 0.1282
S 0.0000 0.0000 0.0000
La 0.6255 0.2508 0.8718
Nd 0.8692 0.7388 0.6293
Nd 0.1308 0.2612 0.3707
CELL_PARAMETERS angstrom
-1.4945 3.7674 0.6625
-2.2434 -4.0765 5.3758
6.3039 2.0678 2.4492
! **ΔE_f (raw)**: -1770 meV per atom
! **Space-group type**: C2/m (12)
! **Fermi-level density of states**: 4.600 states/eV per cell

***

Record 13
! LaNdS2, optimized geometry, DFT GGA-PBE; values from VASP
&SYSTEM
  ibrav = 0, nat = 4, ntyp = 3
/
ATOMIC_SPECIES
Nd 144.24 Nd.upf
S 32.06 S.upf
La 138.91 La.upf
ATOMIC_POSITIONS crystal
Nd 0.6721 0.6721 0.9836
S 0.2527 0.2527 0.2420
La 0.4947 0.4947 0.5160
S 0.0805 0.0805 0.7584
CELL_PARAMETERS angstrom
-2.3398 -0.2038 3.2778
-1.3208 -3.5757 1.3152
4.5502 -1.8906 5.6110
! **ΔE_f (raw)**: -2025 meV per atom
! **Relative energy among the computed polymorphs**: 0.078 eV per atom
! **Space-group type**: R3m (160)
! **Fermi-level density of states**: 0.872 states/eV per cell

***

Record 14
! LaNd5S8, optimized geometry, DFT GGA-PBE; values from VASP
&SYSTEM
  ibrav = 0, nat = 14, ntyp = 3
/
ATOMIC_SPECIES
S 32.06 S.upf
Nd 144.24 Nd.upf
La 138.91 La.upf
ATOMIC_POSITIONS crystal
S 0.1253 0.7519 0.5218
S 0.9762 0.0997 0.7252
S 0.1235 0.7490 0.0238
S 0.4782 0.6034 0.2301
S 0.7699 0.2481 0.3734
S 0.6266 0.3966 0.8747
S 0.6255 0.9003 0.8765
Nd 0.7594 0.6346 0.6254
S 0.2748 0.2510 0.3745
Nd 0.5000 0.0000 0.5000
Nd 0.8752 0.8660 0.2406
Nd 0.3746 0.1340 0.0092
La 0.2500 0.5000 0.7500
Nd 0.9908 0.3654 0.1248
CELL_PARAMETERS angstrom
7.4639 0.0043 -0.0074
-2.5214 7.0251 0.0074
-2.4210 -3.5500 6.1029
! **ΔE_f (raw)**: -2044 meV per atom
! **Space-group type**: I-4 (82)
! **Fermi-level density of states**: 9.476 states/eV per cell

***

Record 15
! La3NdS6, optimized geometry, DFT GGA-PBE; values from VASP
&SYSTEM
  ibrav = 0, nat = 20, ntyp = 3
/
ATOMIC_SPECIES
La 138.91 La.upf
S 32.06 S.upf
Nd 144.24 Nd.upf
ATOMIC_POSITIONS crystal
La 0.2500 0.8379 0.9174
S 0.2500 0.5944 0.9328
Nd 0.2500 0.9554 0.3143
La 0.2500 0.5714 0.1707
La 0.7500 0.4286 0.8293
S 0.7500 0.1077 0.4586
S 0.7500 0.8162 0.7531
S 0.7500 0.7492 0.2813
S 0.2500 0.8923 0.5414
S 0.2500 0.1838 0.2469
S 0.7500 0.9168 0.1003
S 0.2500 0.5265 0.3913
S 0.2500 0.0832 0.8997
S 0.7500 0.4056 0.0672
S 0.7500 0.4735 0.6087
La 0.2500 0.3159 0.4917
Nd 0.7500 0.0446 0.6857
S 0.2500 0.2508 0.7187
La 0.7500 0.6841 0.5083
La 0.7500 0.1621 0.0826
CELL_PARAMETERS angstrom
-0.2531 4.0735 -0.9372
-8.3439 1.2628 7.7418
10.2399 1.9138 5.5534
! **ΔE_f (raw)**: -2124 meV per atom
! **Relative energy among the computed polymorphs**: 0.013 eV per atom
! **Space-group type**: P2_1/m (11)

***

Record 16
! La6NdS8, optimized geometry, DFT GGA-PBE; values from VASP
&SYSTEM
  ibrav = 0, nat = 15, ntyp = 3
/
ATOMIC_SPECIES
La 138.91 La.upf
S 32.06 S.upf
Nd 144.24 Nd.upf
ATOMIC_POSITIONS crystal
La 0.0000 0.0000 0.5000
S 0.2451 0.7549 0.2451
La 0.5000 0.0000 0.5000
La 0.0000 0.5000 0.5000
La 0.5000 0.0000 0.0000
La 0.5000 0.5000 0.0000
S 0.7549 0.2451 0.7549
S 0.2500 0.2500 0.2500
S 0.7549 0.7549 0.2451
S 0.7549 0.2451 0.2451
S 0.7500 0.7500 0.7500
S 0.2451 0.2451 0.7549
Nd 0.0000 0.0000 0.0000
La 0.0000 0.5000 0.0000
S 0.2451 0.7549 0.7549
CELL_PARAMETERS angstrom
-3.3562 2.9075 7.0037
2.8361 -2.5978 7.3470
4.3237 5.1649 4.8373
! **ΔE_f (raw)**: -2147 meV per atom
! **Space-group type**: Fm-3m (225)
! **Fermi-level density of states**: 8.251 states/eV per cell

***

Record 17
! La3Nd2S8, optimized geometry, DFT GGA-PBE; values from VASP
&SYSTEM
  ibrav = 0, nat = 13, ntyp = 3
/
ATOMIC_SPECIES
S 32.06 S.upf
La 138.91 La.upf
Nd 144.24 Nd.upf
ATOMIC_POSITIONS crystal
S 0.0989 0.3805 0.7611
S 0.5839 0.6436 0.7456
La 0.0000 0.7353 0.0000
S 0.4161 0.3564 0.2544
S 0.0586 0.8821 0.7642
S 0.4161 0.8981 0.2544
La 0.0000 0.2647 0.0000
Nd 0.6492 0.7330 0.4660
S 0.5839 0.1019 0.7456
La 0.5000 0.0000 0.0000
Nd 0.3508 0.2670 0.5340
S 0.9011 0.6195 0.2389
S 0.9414 0.1179 0.2358
CELL_PARAMETERS angstrom
-3.0318 -5.8605 2.5235
7.4756 -2.7518 2.5908
-3.5550 6.5136 3.6338
! **ΔE_f (raw)**: -1881 meV per atom
! **Space-group type**: C2/m (12)
! **Fermi-level density of states**: 9.460 states/eV per cell

***

Record 18
! La5NdS6, optimized geometry, DFT GGA-PBE; values from VASP
&SYSTEM
  ibrav = 0, nat = 12, ntyp = 3
/
ATOMIC_SPECIES
S 32.06 S.upf
La 138.91 La.upf
Nd 144.24 Nd.upf
ATOMIC_POSITIONS crystal
S 0.2479 0.5866 0.3309
S 0.7521 0.4134 0.6691
S 0.7512 0.7523 0.0000
S 0.2479 0.9175 0.6691
La 0.5000 0.8329 0.3341
La 0.5000 0.5000 0.0000
Nd 0.0000 0.0000 0.0000
La 0.0000 0.3337 0.3325
La 0.0000 0.6663 0.6675
La 0.5000 0.1671 0.6659
S 0.7521 0.0825 0.3309
S 0.2488 0.2477 0.0000
CELL_PARAMETERS angstrom
7.0874 0.1813 1.0813
1.7507 6.0083 3.5041
0.1227 0.0583 7.1792
! **ΔE_f (raw)**: -2149 meV per atom
! **Space-group type**: C2/m (12)
! **Fermi-level density of states**: 6.062 states/eV per cell

***

Record 19
! LaNdS2, optimized geometry, DFT GGA-PBE; values from VASP
&SYSTEM
  ibrav = 0, nat = 4, ntyp = 3
/
ATOMIC_SPECIES
S 32.06 S.upf
Nd 144.24 Nd.upf
La 138.91 La.upf
ATOMIC_POSITIONS crystal
S 0.2517 0.2517 0.2450
S 0.7483 0.7483 0.7550
Nd 0.0000 0.0000 0.0000
La 0.5000 0.5000 0.5000
CELL_PARAMETERS angstrom
4.1162 0.0000 0.0000
2.0581 3.5647 0.0000
2.0581 1.1882 6.7008
! **ΔE_f (raw)**: -2104 meV per atom
! **Relative energy among the computed polymorphs**: 0.000 eV per atom
! **Space-group type**: R-3m (166)
! **Fermi-level density of states**: 1.747 states/eV per cell

***

Record 20
! La2NdS4, optimized geometry, DFT GGA-PBE; values from VASP
&SYSTEM
  ibrav = 0, nat = 14, ntyp = 3
/
ATOMIC_SPECIES
Nd 144.24 Nd.upf
S 32.06 S.upf
La 138.91 La.upf
ATOMIC_POSITIONS crystal
Nd 0.6265 0.2530 0.7500
S 0.2226 0.4452 0.8762
Nd 0.3735 0.7470 0.2500
La 0.1295 0.2590 0.0721
La 0.8705 0.7410 0.9279
S 0.7774 0.5548 0.1238
S 0.7774 0.5548 0.3762
S 0.0217 0.0433 0.2500
S 0.5000 0.0000 0.0000
La 0.1295 0.2590 0.4279
S 0.9783 0.9567 0.7500
La 0.8705 0.7410 0.5721
S 0.2226 0.4452 0.6238
S 0.5000 0.0000 0.5000
CELL_PARAMETERS angstrom
3.9817 0.0000 0.0000
-1.9908 6.9092 0.0000
0.0000 0.0000 13.6206
! **ΔE_f (raw)**: -2097 meV per atom
! **Space-group type**: Cmcm (63)
! **Fermi-level density of states**: 3.512 states/eV per cell

***

| no. | total magnetic moment (μB per formula unit) |
| --- | --- |
| 1 | 0.00 |
| 2 | 0.00 |
| 3 | 0.00 |
| 4 | 0.00 |
| 5 | 0.00 |
| 6 | 0.00 |
| 7 | 0.00 |
| 8 | 0.00 |
| 9 | 0.00 |
| 10 | 0.00 |
| 11 | 0.00 |
| 12 | 0.00 |
| 13 | 0.00 |
| 14 | 0.00 |
| 15 | 0.00 |
| 16 | 0.00 |
| 17 | 0.55 |
| 18 | 0.00 |
| 19 | 0.00 |
| 20 | 0.00 |